CsNa2GeRh: relaxed, PBE-GGA.

Its space-group type is P4/mmm, No. 123. The formation energy is -36 meV/atom. As for the density of states at the Fermi level: 0.3410 states/eV/atom.

Structure (POSCAR):
```
CsNa2GeRh
1.0
5.703 0.000 0.000
0.000 5.703 0.000
0.000 0.000 4.724
Cs Na Ge Rh
1 2 1 1
Direct
0.000 0.000 0.000
0.000 0.500 0.500
0.500 0.000 0.500
0.500 0.500 0.000
0.500 0.500 0.500
```



YTm5Te4: relaxed, PBE-GGA.

Its space-group type is Pmmn, No. 59. The total energy is -4.8485 eV/atom. As for the density of states at the Fermi level: 1.1226 states/eV/atom.

Structure (POSCAR):
```
YTm5Te4
1.0
9.098 0.000 0.000
0.000 9.526 0.000
0.000 0.000 7.460
Y Tm Te
2 10 8
Direct
0.250 0.250 0.145
0.750 0.750 0.855
0.062 0.061 0.771
0.062 0.439 0.771
0.250 0.750 0.782
0.438 0.061 0.771
0.438 0.439 0.771
0.562 0.561 0.229
0.562 0.939 0.229
0.750 0.250 0.218
0.938 0.561 0.229
0.938 0.939 0.229
0.016 0.250 0.446
0.250 0.555 0.094
0.250 0.945 0.094
0.484 0.250 0.446
0.516 0.750 0.554
0.750 0.055 0.906
0.750 0.445 0.906
0.984 0.750 0.554
```



ScHg2: relaxed, PBE-GGA.

Its space-group type is Pnma, No. 62. The formation energy is -300 meV/atom. As for the density of states at the Fermi level: 0.6267 states/eV/atom.

Structure (POSCAR):
```
ScHg2
1.0
6.271 0.000 0.000
0.000 4.731 0.000
0.000 0.000 8.921
Sc Hg
4 8
Direct
0.164 0.250 0.094
0.336 0.750 0.594
0.664 0.250 0.406
0.836 0.750 0.906
0.065 0.250 0.765
0.159 0.250 0.427
0.341 0.750 0.927
0.435 0.750 0.265
0.565 0.250 0.735
0.659 0.250 0.073
0.841 0.750 0.573
0.935 0.750 0.235
```



MgTlInBr4: relaxed, PBE-GGA.

Its space-group type is P2_1/m, No. 11. The total energy is -2.9605 eV/atom. As for the density of states at the Fermi level: 0.0000 states/eV/atom.

Structure (POSCAR):
```
MgTlInBr4
1.0
7.585 0.000 0.000
0.000 7.715 0.000
-3.000 0.000 8.828
Mg Tl In Br
2 2 2 8
Direct
0.234 0.250 0.301
0.766 0.750 0.699
0.255 0.750 0.062
0.745 0.250 0.938
0.217 0.750 0.547
0.783 0.250 0.453
0.012 0.502 0.236
0.012 0.998 0.236
0.428 0.250 0.575
0.439 0.250 0.138
0.561 0.750 0.862
0.572 0.750 0.425
0.988 0.002 0.764
0.988 0.498 0.764
```



NaSmBi: relaxed, PBE-GGA.

Its space-group type is C2/m, No. 12. The formation energy is -517 meV/atom. As for the density of states at the Fermi level: 0.3386 states/eV/atom.

Structure (POSCAR):
```
NaSmBi
1.0
3.240 -3.211 0.000
3.240 3.211 0.000
-3.229 0.000 9.387
Na Sm Bi
2 2 2
Direct
0.243 0.243 0.000
0.757 0.757 0.000
0.325 0.325 0.649
0.675 0.675 0.351
0.154 0.154 0.308
0.846 0.846 0.692
```



NdPaIr: relaxed, PBE-GGA.

Its space-group type is P2_1/m, No. 11. The formation energy is -535 meV/atom. The value obtained for the relative energy among the computed polymorphs is 35 meV per atom. As for the density of states at the Fermi level: 1.2757 states/eV/atom.

Structure (POSCAR):
```
NdPaIr
1.0
4.838 0.000 0.000
0.000 4.294 0.000
-0.260 0.000 7.430
Nd Pa Ir
2 2 2
Direct
0.250 0.250 0.125
0.750 0.750 0.875
0.295 0.750 0.512
0.705 0.250 0.488
0.144 0.250 0.727
0.856 0.750 0.273
```



Ce4PuRh4: relaxed, PBE-GGA.

Its space-group type is I4/m, No. 87. The formation energy is -544 meV/atom. As for the density of states at the Fermi level: 2.7668 states/eV/atom.

Structure (POSCAR):
```
Ce4PuRh4
1.0
-4.471 4.471 2.810
4.471 -4.471 2.810
4.471 4.471 -2.810
Ce Pu Rh
4 1 4
Direct
0.098 0.302 0.400
0.302 0.902 0.204
0.698 0.098 0.796
0.902 0.698 0.600
0.500 0.500 0.000
0.206 0.604 0.810
0.396 0.206 0.602
0.604 0.794 0.398
0.794 0.396 0.190
```



Pm6CdHg: relaxed, PBE-GGA.

Its space-group type is I4/mmm, No. 139. The formation energy is -189 meV/atom. As for the density of states at the Fermi level: 1.1178 states/eV/atom.

Structure (POSCAR):
```
Pm6CdHg
1.0
-2.624 2.624 9.056
2.624 -2.624 9.056
2.624 2.624 -9.056
Pm Cd Hg
6 1 1
Direct
0.111 0.611 0.500
0.249 0.249 0.000
0.389 0.889 0.500
0.611 0.111 0.500
0.751 0.751 0.000
0.889 0.389 0.500
0.000 0.000 0.000
0.500 0.500 0.000
```



Be2B2Pt7: relaxed, PBE-GGA.

Its space-group type is Cmmm, No. 65. The formation energy is -302 meV/atom. As for the density of states at the Fermi level: 0.3091 states/eV/atom.

Structure (POSCAR):
```
Be2B2Pt7
1.0
3.505 -4.060 0.000
3.505 4.060 0.000
0.000 0.000 5.419
Be B Pt
2 2 7
Direct
0.229 0.229 0.000
0.771 0.771 0.000
0.280 0.720 0.500
0.720 0.280 0.500
0.000 0.000 0.500
0.000 0.500 0.250
0.000 0.500 0.750
0.500 0.000 0.250
0.500 0.000 0.750
0.500 0.500 0.251
0.500 0.500 0.749
```



SbTe2SN: relaxed, PBE-GGA.

Its space-group type is P4/mmm, No. 123. The value obtained for the relative energy among the computed polymorphs is 0 meV per atom. As for the density of states at the Fermi level: 0.5241 states/eV/atom.

Structure (POSCAR):
```
SbTe2SN
1.0
6.172 0.000 0.000
0.000 6.172 0.000
0.000 0.000 3.232
Sb Te S N
1 2 1 1
Direct
0.000 0.000 0.000
0.000 0.500 0.500
0.500 0.000 0.500
0.500 0.500 0.500
0.500 0.500 0.000
```



Tm2AlO: relaxed, PBE-GGA.

Its space-group type is R-3m, No. 166. The total energy is -5.5022 eV/atom. As for the density of states at the Fermi level: 0.6258 states/eV/atom.

Structure (POSCAR):
```
Tm2AlO
1.0
1.672 0.965 8.656
-1.672 0.965 8.656
0.000 -1.930 8.656
Tm Al O
2 1 1
Direct
0.114 0.114 0.114
0.886 0.886 0.886
0.000 0.000 0.000
0.500 0.500 0.500
```



Hf2Ge2Se: relaxed, PBE-GGA.

Its space-group type is P4/mbm, No. 127. The total energy is -7.1279 eV/atom. As for the density of states at the Fermi level: 0.7370 states/eV/atom.

Structure (POSCAR):
```
Hf2Ge2Se
1.0
7.242 0.000 0.000
0.000 7.242 0.000
0.000 0.000 3.764
Hf Ge Se
4 4 2
Direct
0.173 0.327 0.000
0.327 0.827 0.000
0.673 0.173 0.000
0.827 0.673 0.000
0.123 0.623 0.500
0.377 0.123 0.500
0.623 0.877 0.500
0.877 0.377 0.500
0.000 0.000 0.000
0.500 0.500 0.000
```